K3MnSb: optimized geometry, PBE.

The space group is Pm-3m (No. 221) and the conventional cell measures 6.740, 6.740 and 6.740 Å, with angles of 90.00, 90.00 and 90.00 degrees. The inequivalent atoms are K at (0.000, 0.000, 0.500), Mn at (0.500, 0.500, 0.500) and Sb at (0.000, 0.000, 0.000).

As for the formation energy without anion corrections: 0.43 eV/atom. The calculation puts the excess energy over the best structure of this formula in the dataset at 0.0000 eV per atom.